Density functional theory data (PBE) for Cr2InSe4 after structural relaxation. Values from VASP.

```
&SYSTEM
  ibrav = 0, nat = 14, ntyp = 3
/
ATOMIC_SPECIES
Cr 52.00 Cr.upf
In 114.82 In.upf
Se 78.96 Se.upf
ATOMIC_POSITIONS angstrom
Cr 0.0000 0.0000 0.0000
Cr 2.7439 2.7472 0.0000
Cr 2.7439 0.0000 2.7514
Cr 0.0000 2.7472 2.7514
In 4.1158 4.1207 4.1271
In 6.8597 6.8679 6.8786
Se 8.4102 5.3134 5.3181
Se 2.5653 2.5662 2.5667
Se 5.6663 5.6753 2.5667
Se 5.6663 2.5662 5.6876
Se 5.3092 8.4225 5.3181
Se 5.3092 5.3134 8.4390
Se 8.4102 8.4225 8.4390
Se 2.5653 5.6753 5.6876
CELL_PARAMETERS angstrom
0.0000 5.4943 5.5028
5.4878 0.0000 5.5028
5.4878 5.4943 0.0000
```

Summary:
volume: 332 Å³ per cell
electronic total energy: -5.647 eV/atom
E_form (uncorrected): -0.52 eV/atom